Version P
DFT (GGA-PBE) results for a geometry-optimized Ca2ZnGe structure.

a b c (Å): 3.612 5.186 5.186
angles (deg): 90.00 90.00 90.00
Sites, in units of the cell vectors:
Ca 0.000 0.500 0.000
Ca 0.000 0.000 0.500
Ge 0.500 0.000 0.000
Zn 0.500 0.500 0.500

---

Version Q
DFT (GGA-PBE) results for a geometry-optimized Ca2ZnGe structure.

a b c (Å): 6.924 6.924 6.924
angles (deg): 61.09 150.82 127.62
Sites, in units of the cell vectors:
Ca 0.000 0.251 0.251
Ca 0.000 0.749 0.749
Zn 0.000 0.000 0.000
Ge 0.000 0.500 0.500

---

In meV/atom, relative to the most stable structure: version P 0; version Q 890.

---

Version P
DFT (GGA-PBE) results for a geometry-optimized Ca2ZnGe structure.

a b c (Å): 5.046 5.046 10.223
angles (deg): 75.71 75.71 90.00
Sites, in units of the cell vectors:
Ge 0.000 0.000 0.000
Ge 0.750 0.250 0.500
Ca 0.375 0.366 0.750
Ca 0.116 0.625 0.250
Ca 0.875 0.884 0.750
Ca 0.634 0.125 0.250
Zn 0.500 0.500 0.000
Zn 0.250 0.750 0.500

---

Version Q
DFT (GGA-PBE) results for a geometry-optimized Ca2ZnGe structure.

a b c (Å): 5.157 5.157 5.157
angles (deg): 60.00 60.00 60.00
Sites, in units of the cell vectors:
Ca 0.750 0.750 0.750
Ca 0.250 0.250 0.250
Ge 0.500 0.500 0.500
Zn 0.000 0.000 0.000

---

In meV/atom, relative to the most stable structure: version P 599; version Q 0.

---

Version P
DFT (GGA-PBE) results for a geometry-optimized Ca3ZnGe2 structure.

a b c (Å): 7.310 6.522 8.253
angles (deg): 113.28 116.29 90.00
Sites, in units of the cell vectors:
Ca 0.500 0.750 0.000
Ca 0.657 0.321 0.642
Ca 0.986 0.821 0.642
Ca 0.500 0.250 0.000
Ca 0.343 0.679 0.358
Ca 0.014 0.179 0.358
Ge 0.326 0.106 0.213
Ge 0.113 0.394 0.787
Ge 0.674 0.894 0.787
Ge 0.887 0.606 0.213
Zn 0.000 0.250 0.000
Zn 0.000 0.750 0.000

---

Version Q
DFT (GGA-PBE) results for a geometry-optimized Ca3ZnGe2 structure.

a b c (Å): 4.316 12.037 11.897
angles (deg): 90.00 90.00 90.00
Sites, in units of the cell vectors:
Ca 0.750 0.309 0.798
Ca 0.250 0.691 0.202
Ca 0.250 0.380 0.058
Ca 0.750 0.561 0.626
Ca 0.750 0.939 0.126
Ca 0.750 0.191 0.298
Ca 0.750 0.880 0.442
Ca 0.250 0.809 0.702
Ca 0.250 0.120 0.558
Ca 0.250 0.439 0.374
Ca 0.250 0.061 0.874
Ca 0.750 0.620 0.942
Ge 0.750 0.184 0.027
Ge 0.250 0.684 0.473
Ge 0.750 0.509 0.192
Ge 0.250 0.009 0.308
Ge 0.250 0.491 0.808
Ge 0.750 0.316 0.527
Ge 0.750 0.991 0.692
Ge 0.250 0.816 0.973
Zn 0.750 0.871 0.870
Zn 0.750 0.629 0.370
Zn 0.250 0.371 0.630
Zn 0.250 0.129 0.130

---

In meV/atom, relative to the most stable structure: version P 70; version Q 0.